Record 1
# CoTeCl2

Crystalline CoTeCl2 at its relaxed geometry (GGA-PBEsol, the Alexandria database).

Summary:
ΔE_f (raw), eV/atom: 0.609
Total DFT energy (no corrections), eV for the cell shown: -25.7

abc: 6.013 8.323 3.123
angles: 90.00 90.00 90.00
Space group Cmmm (No. 65)
Inequivalent atoms, fractional coordinates:
Co (0.000, 0.000, 0.000) [2 per cell]
Te (0.000, 0.500, 0.000) [2 per cell]
Cl (0.250, 0.250, 0.500) [4 per cell]



Record 2
# CoTe2Cl

Crystalline CoTe2Cl at its relaxed geometry (GGA-PBEsol, the Alexandria database).

Summary:
ΔE_f (raw), eV/atom: 0.502
Total DFT energy (no corrections), eV for the cell shown: -14.8

abc: 5.049 5.049 3.085
angles: 90.00 90.00 90.00
Space group P4/mmm (No. 123)
Inequivalent atoms, fractional coordinates:
Co (0.000, 0.000, 0.000) [1 per cell]
Te (0.000, 0.500, 0.500) [2 per cell]
Cl (0.500, 0.500, 0.000) [1 per cell]